DFT (PBE) results for a relaxed structure of TaPbBr2.

Output
The energy relative to the elements, uncorrected is 0.69 eV per atom. The total magnetization comes out at 0.488 μB per atom. As for the offset from the most stable computed form: 869.0 meV per atom.

a b c (Å): 5.328 5.328 3.388
angles (deg): 90.00 90.00 90.00
Space group P4/mmm (No. 123)
Asymmetric unit:
Ta1 0.000 0.000 0.000 [1 per cell]
Pb1 0.500 0.500 0.000 [1 per cell]
Br1 0.000 0.500 0.500 [2 per cell]

=====

DFT (PBE) results for a relaxed structure of RbBaNa2Mo.

Output
Its formation enthalpy at 0 K is 1.218 eV/atom. The total magnetization comes out at 0.881 μB per atom.

a b c (Å): 6.123 6.123 6.562
angles (deg): 90.00 90.00 90.00
Space group P4/mmm (No. 123)
Asymmetric unit:
Rb1 0.000 0.000 0.000 [1 per cell]
Ba1 0.500 0.500 0.500 [1 per cell]
Na1 0.000 0.500 0.000 [2 per cell]
Mo1 0.000 0.000 0.500 [1 per cell]

=====

DFT (PBE) results for a relaxed structure of BaGaHgN2.

Output
The energy relative to the elements, uncorrected is 1.16 eV per atom. The total magnetization comes out at 0.222 μB per atom.

a b c (Å): 4.674 4.674 4.959
angles (deg): 90.00 90.00 90.00
Space group P4/mmm (No. 123)
Asymmetric unit:
Ba1 0.000 0.000 0.000 [1 per cell]
Ga1 0.500 0.500 0.000 [1 per cell]
Hg1 0.500 0.500 0.500 [1 per cell]
N1 0.000 0.500 0.500 [2 per cell]

=====

DFT (PBE) results for a relaxed structure of Pr2AuCl.

Output
The energy relative to the elements, uncorrected is -1.03 eV per atom. The total magnetization comes out at 0.000 μB per atom. As for the offset from the most stable computed form: 73.7 meV per atom.

a b c (Å): 4.1634 4.1634 23.3761
angles (deg): 90.00 90.00 120.00
Space group R3m (No. 160, hexagonal axes)
Asymmetric unit:
Pr1 0.0000 0.0000 0.0000 [3 per cell]
Pr2 0.0000 0.0000 0.1815 [3 per cell]
Au1 0.0000 0.0000 0.5915 [3 per cell]
Cl1 0.0000 0.0000 0.4214 [3 per cell]

=====

DFT (PBE) results for a relaxed structure of ZrTcAs.

Output
Its formation enthalpy at 0 K is 0.299 eV/atom. The total magnetization comes out at 0.000 μB per atom. As for the offset from the most stable computed form: 1096.8 meV per atom.

a b c (Å): 6.296 6.296 6.296
angles (deg): 90.00 90.00 90.00
Space group F-43m (No. 216)
Asymmetric unit:
Zr1 0.000 0.000 0.000 [4 per cell]
Tc1 0.250 0.250 0.250 [4 per cell]
As1 0.250 0.250 0.750 [4 per cell]

=====

DFT (PBE) results for a relaxed structure of Rb3PuMg2Br9.

Output
The energy relative to the elements, uncorrected is -1.54 eV per atom. The total magnetization comes out at 0.398 μB per atom.

a b c (Å): 7.8491 7.8491 9.7366
angles (deg): 90.00 90.00 120.00
Space group P-3m1 (No. 164)
Asymmetric unit:
Rb1 0.0000 0.0000 0.0000 [1 per cell]
Rb2 0.3333 0.6667 0.6878 [2 per cell]
Pu1 0.0000 0.0000 0.5000 [1 per cell]
Mg1 0.3333 0.6667 0.1566 [2 per cell]
Br1 0.0000 0.5000 0.0000 [3 per cell]
Br2 0.1735 0.3470 0.3196 [6 per cell]

=====

DFT (PBE) results for a relaxed structure of Y3HoHg7.

Output
Its formation enthalpy at 0 K is -0.224 eV/atom. The total magnetization comes out at 0.000 μB per atom.

a b c (Å): 3.637 31.006 12.641
angles (deg): 90.00 90.00 90.00
Space group Cmcm (No. 63)
Asymmetric unit:
Y1 0.000 0.069 0.048 [8 per cell]
Y2 0.000 0.189 0.750 [4 per cell]
Ho1 0.000 0.071 0.750 [4 per cell]
Hg1 0.000 0.269 0.078 [8 per cell]
Hg2 0.000 0.372 0.102 [8 per cell]
Hg3 0.000 0.421 0.750 [4 per cell]
Hg4 0.000 0.489 0.117 [8 per cell]

=====

DFT (PBE) results for a relaxed structure of LaDy7Y12.

Output
Its formation enthalpy at 0 K is 0.226 eV/atom. The total magnetization comes out at 0.000 μB per atom.

a b c (Å): 12.1546 12.1546 15.6568
angles (deg): 90.00 90.00 120.00
Space group R-3 (No. 148, hexagonal axes)
Asymmetric unit:
La1 0.0000 0.0000 0.0000 [3 per cell]
Dy1 0.0000 0.0000 0.5000 [3 per cell]
Dy2 0.0502 0.4638 0.5846 [18 per cell]
Y1 0.0181 0.5708 0.2127 [18 per cell]
Y2 0.0471 0.8594 0.2980 [18 per cell]